K4Pm3InS8: relaxed, PBE.

The space group is R-3m (No. 166, hexagonal axes) and the conventional cell measures 8.2206, 8.2206 and 22.2201 Å, with angles of 90.00, 90.00 and 120.00 degrees. The distinct sites, in fractional coordinates, are K at (0.0000, 0.0000, 0.0000), K at (0.0000, 0.5000, 0.0000), Pm at (0.0000, 0.5000, 0.5000), In at (0.0000, 0.0000, 0.5000), S at (0.0000, 0.0000, 0.2357) and S at (0.0105, 0.5053, 0.2347).

The magnetic moment is 0.0 μB/f.u. The uncorrected energy comes out at -239.64 eV/cell. Its raw formation energy is -1592.6 meV/atom.



PrDy2Tm3Te6: relaxed, PBE.

The space group is C2/m (No. 12) and the conventional cell measures 19.135, 4.313 and 8.808 Å, with angles of 90.00, 104.82 and 90.00 degrees. The distinct sites, in fractional coordinates, are Pr at (0.000, 0.000, 0.000), Dy at (0.163, 0.500, 0.325), Tm at (0.000, 0.000, 0.500), Tm at (0.161, 0.500, 0.830), Te at (0.000, 0.500, 0.263), Te at (0.167, 0.000, 0.584) and Te at (0.174, 0.000, 0.081).

The magnetic moment is 0.0 μB/f.u. The uncorrected energy comes out at -122.56 eV/cell. Its raw formation energy is -1252.8 meV/atom.



YZrFe10: relaxed, PBE.

The space group is Pmmm (No. 47) and the conventional cell measures 3.950, 4.933 and 8.520 Å, with angles of 90.00, 90.00 and 90.00 degrees. The distinct sites, in fractional coordinates, are Y at (0.000, 0.000, 0.000), Zr at (0.000, 0.500, 0.500), Fe at (0.000, 0.000, 0.338), Fe at (0.000, 0.500, 0.172), Fe at (0.500, 0.000, 0.500), Fe at (0.500, 0.252, 0.255) and Fe at (0.500, 0.500, 0.000).

The magnetic moment is 19.2 μB/f.u. The uncorrected energy comes out at -100.39 eV/cell. For the calculated formation energy, the calculation gives -63 meV per atom.



RbBaBiI6: relaxed, PBE.

The space group is P-31c (No. 163) and the conventional cell measures 8.5989, 8.5989 and 15.5667 Å, with angles of 90.00, 90.00 and 120.00 degrees. The distinct sites, in fractional coordinates, are Rb at (0.0000, 0.0000, 0.0000), Ba at (0.3333, 0.6667, 0.2500), Bi at (0.3333, 0.6667, 0.7500) and I at (0.0319, 0.3826, 0.6319).

The magnetic moment is 0.0 μB/f.u. The uncorrected energy comes out at -52.35 eV/cell. Its raw formation energy is -1122.6 meV/atom.



TbPr2ZnTe5: relaxed, PBE.

The space group is Cmc2_1 (No. 36) and the conventional cell measures 4.322, 19.379 and 13.259 Å, with angles of 90.00, 90.00 and 90.00 degrees. The distinct sites, in fractional coordinates, are Tb at (0.000, 0.199, 0.000), Pr at (0.000, 0.114, 0.671), Pr at (0.000, 0.129, 0.295), Zn at (0.000, 0.436, 0.446), Te at (0.000, 0.046, 0.058), Te at (0.000, 0.286, 0.663), Te at (0.000, 0.313, 0.334), Te at (0.000, 0.358, 0.988) and Te at (0.000, 0.499, 0.773).

The magnetic moment is 0.0 μB/f.u. The uncorrected energy comes out at -167.85 eV/cell. Its raw formation energy is -1199.1 meV/atom.



TaTcS2: relaxed, PBE.

The space group is R-3m (No. 166, hexagonal axes) and the conventional cell measures 3.0783, 3.0783 and 24.2082 Å, with angles of 90.00, 90.00 and 120.00 degrees. The distinct sites, in fractional coordinates, are Ta at (0.0000, 0.0000, 0.0000), Tc at (0.0000, 0.0000, 0.5000) and S at (0.0000, 0.0000, 0.4048).

The magnetic moment is 0.3 μB/f.u. The uncorrected energy comes out at -95.05 eV/cell. For the polymorph energy (0 for the lowest one), the calculation gives 0 meV/atom. Its raw formation energy is -302.4 meV/atom.



In2SiAu: relaxed, PBE.

The space group is Amm2 (No. 38) and the conventional cell measures 4.426, 5.093 and 8.613 Å, with angles of 90.00, 90.00 and 90.00 degrees. The distinct sites, in fractional coordinates, are In at (0.000, 0.000, 0.000), In at (0.500, 0.000, 0.407), Si at (0.000, 0.000, 0.638) and Au at (0.500, 0.000, 0.773).

The magnetic moment is 0.0 μB/f.u. The uncorrected energy comes out at -28.21 eV/cell. Its raw formation energy is 17.7 meV/atom.



FeTePb: relaxed, PBE.

The space group is F-43m (No. 216) and the conventional cell measures 6.692, 6.692 and 6.692 Å, with angles of 90.00, 90.00 and 90.00 degrees. The distinct sites, in fractional coordinates, are Fe at (0.000, 0.000, 0.000), Te at (0.250, 0.250, 0.750) and Pb at (0.250, 0.250, 0.250).

The magnetic moment is 2.3 μB/f.u. The uncorrected energy comes out at -57.64 eV/cell. For the polymorph energy (0 for the lowest one), the calculation gives 70 meV/atom. Its raw formation energy is 300.8 meV/atom.